(1)
Computed, not measured: a relaxed structure of Ba2ZnRh at the PBE level of DFT.

Calculated values
The value obtained for the uncorrected energy is -12.033 eV per formula unit.

Cell: 4.638 4.638 6.417 Å, 90.00 90.00 90.00°
Space group P4mm (No. 99)
Unique sites:
Ba: 0.000 0.000 0.000 (multiplicity 1)
Ba: 0.500 0.500 0.500 (multiplicity 1)
Zn: 0.000 0.000 0.499 (multiplicity 1)
Rh: 0.500 0.500 0.002 (multiplicity 1)

(2)
Computed, not measured: a relaxed structure of Ba8ZnRh2 at the PBE level of DFT.

Calculated values
The value obtained for the uncorrected energy is -32.416 eV per formula unit.

Cell: 14.193 11.645 6.585 Å, 90.00 94.51 90.00°
Space group C2/m (No. 12)
Unique sites:
Ba: 0.107 0.000 0.251 (multiplicity 4)
Ba: 0.117 0.259 0.738 (multiplicity 8)
Ba: 0.173 0.500 0.213 (multiplicity 4)
Zn: 0.000 0.500 0.500 (multiplicity 2)
Rh: 0.119 0.000 0.752 (multiplicity 4)

(3)
Computed, not measured: a relaxed structure of Ba2ZnRh at the PBE level of DFT.

Calculated values
The value obtained for the uncorrected energy is -12.083 eV per formula unit.

Cell: 4.755 4.755 10.181 Å, 90.00 90.00 90.00°
Space group I-4m2 (No. 119)
Unique sites:
Ba: 0.000 0.000 0.000 (multiplicity 2)
Ba: 0.000 0.500 0.250 (multiplicity 2)
Zn: 0.000 0.000 0.500 (multiplicity 2)
Rh: 0.000 0.500 0.750 (multiplicity 2)

(4)
Computed, not measured: a relaxed structure of Ba6ZnRh at the PBE level of DFT.

Calculated values
The value obtained for the uncorrected energy is -21.179 eV per formula unit.

Cell: 7.913 7.916 15.369 Å, 89.99 89.96 60.02°
Space group P-1 (No. 2)
Unique sites:
Ba: 0.004 0.180 0.382 (multiplicity 2)
Ba: 0.005 0.815 0.118 (multiplicity 2)
Ba: 0.315 0.505 0.382 (multiplicity 2)
Ba: 0.316 0.180 0.118 (multiplicity 2)
Ba: 0.320 0.185 0.618 (multiplicity 2)
Ba: 0.320 0.495 0.882 (multiplicity 2)
Zn: 0.333 0.834 0.750 (multiplicity 2)
Rh: 0.000 0.500 0.000 (multiplicity 1)
Rh: 0.000 0.500 0.500 (multiplicity 1)

(5)
Computed, not measured: a relaxed structure of Ba2ZnRh at the PBE level of DFT.

Calculated values
The value obtained for the uncorrected energy is -12.489 eV per formula unit.

Cell: 4.5208 4.5208 24.7527 Å, 90.00 90.00 120.00°
Space group R-3m (No. 166, hexagonal axes)
Unique sites:
Ba: 0.0000 0.0000 0.2346 (multiplicity 6)
Zn: 0.0000 0.0000 0.0000 (multiplicity 3)
Rh: 0.0000 0.0000 0.5000 (multiplicity 3)

(6)
Computed, not measured: a relaxed structure of Ba3Zn2Rh7 at the PBE level of DFT.

Calculated values
The value obtained for the uncorrected energy is -62.348 eV per formula unit.

Cell: 5.6375 5.6375 25.8015 Å, 90.00 90.00 120.00°
Space group R-3m (No. 166, hexagonal axes)
Unique sites:
Ba: 0.0000 0.0000 0.0000 (multiplicity 3)
Ba: 0.0000 0.0000 0.1402 (multiplicity 6)
Zn: 0.0000 0.0000 0.3345 (multiplicity 6)
Rh: 0.0000 0.0000 0.5000 (multiplicity 3)
Rh: 0.0020 0.5010 0.9198 (multiplicity 18)

(7)
Computed, not measured: a relaxed structure of Ba2Zn2Rh at the PBE level of DFT.

Calculated values
Its energy above the most stable polymorph in this dataset is 0.2483 eV/atom. The value obtained for the uncorrected energy is -13.873 eV per formula unit.

Cell: 7.236 7.236 5.151 Å, 90.00 90.00 90.00°
Space group P4/mbm (No. 127)
Unique sites:
Ba: 0.187 0.313 0.000 (multiplicity 4)
Zn: 0.133 0.633 0.500 (multiplicity 4)
Rh: 0.000 0.000 0.500 (multiplicity 2)

(8)
Computed, not measured: a relaxed structure of BaZnRh at the PBE level of DFT.

Calculated values
The value obtained for the uncorrected energy is -11.393 eV per formula unit.

Cell: 4.3791 4.3791 4.7253 Å, 90.00 90.00 120.00°
Space group P-6m2 (No. 187)
Unique sites:
Ba: 0.0000 0.0000 0.0000 (multiplicity 1)
Zn: 0.3333 0.6667 0.5000 (multiplicity 1)
Rh: 0.6667 0.3333 0.5000 (multiplicity 1)

(9)
Computed, not measured: a relaxed structure of Ba2ZnRh at the PBE level of DFT.

Calculated values
The value obtained for the uncorrected energy is -11.998 eV per formula unit.

Cell: 8.579 8.579 7.440 Å, 90.00 90.00 90.00°
Space group I-42d (No. 122)
Unique sites:
Ba: 0.208 0.250 0.125 (multiplicity 8)
Zn: 0.000 0.000 0.500 (multiplicity 4)
Rh: 0.000 0.000 0.000 (multiplicity 4)

(10)
Computed, not measured: a relaxed structure of BaZr3Rh at the PBE level of DFT.

Calculated values
Its energy above the most stable polymorph in this dataset is 0.0000 eV/atom. The value obtained for the uncorrected energy is -33.922 eV per formula unit.

Cell: 5.214 5.214 5.214 Å, 90.00 90.00 90.00°
Space group Pm-3m (No. 221)
Unique sites:
Ba: 0.000 0.000 0.000 (multiplicity 1)
Zr: 0.000 0.500 0.500 (multiplicity 3)
Rh: 0.500 0.500 0.500 (multiplicity 1)

(11)
Computed, not measured: a relaxed structure of BaZr3Rh at the PBE level of DFT.

Calculated values
Its energy above the most stable polymorph in this dataset is 1.8060 eV/atom. The value obtained for the uncorrected energy is -24.892 eV per formula unit.

Cell: 5.194 5.194 5.194 Å, 90.00 90.00 90.00°
Space group Pm-3m (No. 221)
Unique sites:
Ba: 0.000 0.000 0.000 (multiplicity 1)
Zr: 0.000 0.000 0.500 (multiplicity 3)
Rh: 0.500 0.500 0.500 (multiplicity 1)

(12)
Computed, not measured: a relaxed structure of Ba2ZrRh2 at the PBE level of DFT.

Calculated values
The value obtained for the uncorrected energy is -27.418 eV per formula unit.

Cell: 7.096 7.096 5.359 Å, 90.00 90.00 90.00°
Space group P4/mbm (No. 127)
Unique sites:
Ba: 0.175 0.325 0.000 (multiplicity 4)
Zr: 0.000 0.000 0.500 (multiplicity 2)
Rh: 0.132 0.632 0.500 (multiplicity 4)

(13)
Computed, not measured: a relaxed structure of BaZr4Rh at the PBE level of DFT.

Calculated values
The value obtained for the uncorrected energy is -40.101 eV per formula unit.

Cell: 8.344 8.344 8.344 Å, 90.00 90.00 90.00°
Space group F-43m (No. 216)
Unique sites:
Ba: 0.000 0.000 0.000 (multiplicity 4)
Zr: 0.124 0.124 0.376 (multiplicity 16)
Rh: 0.250 0.250 0.750 (multiplicity 4)

(14)
Computed, not measured: a relaxed structure of BaZrRh at the PBE level of DFT.

Calculated values
Its energy above the most stable polymorph in this dataset is 0.1284 eV/atom. The value obtained for the uncorrected energy is -17.904 eV per formula unit.

Cell: 4.3670 4.3670 5.6384 Å, 90.00 90.00 120.00°
Space group P3m1 (No. 156)
Unique sites:
Ba: 0.0000 0.0000 0.0000 (multiplicity 1)
Zr: 0.3333 0.6667 0.5053 (multiplicity 1)
Rh: 0.6667 0.3333 0.4413 (multiplicity 1)

(15)
Computed, not measured: a relaxed structure of BaZrRh at the PBE level of DFT.

Calculated values
Its energy above the most stable polymorph in this dataset is 1.2622 eV/atom. The value obtained for the uncorrected energy is -14.503 eV per formula unit.

Cell: 6.768 6.768 6.768 Å, 90.00 90.00 90.00°
Space group F-43m (No. 216)
Unique sites:
Ba: 0.000 0.000 0.000 (multiplicity 4)
Zr: 0.250 0.250 0.750 (multiplicity 4)
Rh: 0.250 0.250 0.250 (multiplicity 4)

(16)
Computed, not measured: a relaxed structure of BaZrRh3 at the PBE level of DFT.

Calculated values
Its energy above the most stable polymorph in this dataset is 0.0000 eV/atom. The value obtained for the uncorrected energy is -31.876 eV per formula unit.

Cell: 4.967 4.967 4.967 Å, 90.00 90.00 90.00°
Space group Pm-3m (No. 221)
Unique sites:
Ba: 0.000 0.000 0.000 (multiplicity 1)
Zr: 0.500 0.500 0.500 (multiplicity 1)
Rh: 0.000 0.500 0.500 (multiplicity 3)

(17)
Computed, not measured: a relaxed structure of Ba4ZrRh at the PBE level of DFT.

Calculated values
The value obtained for the uncorrected energy is -17.086 eV per formula unit.

Cell: 9.857 9.857 9.857 Å, 90.00 90.00 90.00°
Space group F-43m (No. 216)
Unique sites:
Ba: 0.124 0.124 0.124 (multiplicity 16)
Zr: 0.000 0.000 0.500 (multiplicity 4)
Rh: 0.250 0.250 0.750 (multiplicity 4)

(18)
Computed, not measured: a relaxed structure of BaZrRh3 at the PBE level of DFT.

Calculated values
Its energy above the most stable polymorph in this dataset is 1.4103 eV/atom. The value obtained for the uncorrected energy is -24.825 eV per formula unit.

Cell: 4.983 4.983 4.983 Å, 90.00 90.00 90.00°
Space group Pm-3m (No. 221)
Unique sites:
Ba: 0.000 0.000 0.000 (multiplicity 1)
Zr: 0.500 0.500 0.500 (multiplicity 1)
Rh: 0.000 0.000 0.500 (multiplicity 3)

(19)
Computed, not measured: a relaxed structure of BaZrRh at the PBE level of DFT.

Calculated values
Its energy above the most stable polymorph in this dataset is 0.0000 eV/atom. The value obtained for the uncorrected energy is -18.289 eV per formula unit.

Cell: 3.536 3.536 13.224 Å, 90.00 90.00 90.00°
Space group I4mm (No. 107)
Unique sites:
Ba: 0.000 0.000 0.000 (multiplicity 2)
Zr: 0.000 0.000 0.268 (multiplicity 2)
Rh: 0.000 0.000 0.691 (multiplicity 2)

(20)
Computed, not measured: a relaxed structure of BaZrRh at the PBE level of DFT.

Calculated values
Its energy above the most stable polymorph in this dataset is 0.4425 eV/atom. The value obtained for the uncorrected energy is -16.962 eV per formula unit.

Cell: 6.959 6.959 6.959 Å, 90.00 90.00 90.00°
Space group F-43m (No. 216)
Unique sites:
Ba: 0.000 0.000 0.000 (multiplicity 4)
Zr: 0.000 0.000 0.500 (multiplicity 4)
Rh: 0.250 0.250 0.250 (multiplicity 4)

(21)
Computed, not measured: a relaxed structure of BaRu at the PBE level of DFT.

Calculated values
The value obtained for the uncorrected energy is -7.509 eV per formula unit.

Cell: 8.144 8.144 8.144 Å, 90.00 90.00 90.00°
Space group Pm-3n (No. 223)
Unique sites:
Ba: 0.000 0.250 0.500 (multiplicity 6)
Ru: 0.000 0.500 0.250 (multiplicity 6)

(22)
Computed, not measured: a relaxed structure of BaRu at the PBE level of DFT.

Calculated values
The value obtained for the uncorrected energy is -10.575 eV per formula unit.

Cell: 12.085 12.085 4.232 Å, 90.00 90.00 90.00°
Space group P4/m (No. 83)
Unique sites:
Ba: 0.003 0.300 0.000 (multiplicity 4)
Ba: 0.330 0.669 0.500 (multiplicity 4)
Ru: 0.102 0.478 0.500 (multiplicity 4)
Ru: 0.180 0.521 0.000 (multiplicity 4)

(23)
Computed, not measured: a relaxed structure of Ba5Ru at the PBE level of DFT.

Calculated values
Its energy above the most stable polymorph in this dataset is 0.0278 eV/atom. The value obtained for the uncorrected energy is -16.445 eV per formula unit.

Cell: 9.2562 9.2562 4.4038 Å, 90.00 90.00 120.00°
Space group P-62m (No. 189)
Unique sites:
Ba: 0.0000 0.7661 0.0000 (multiplicity 3)
Ba: 0.3333 0.6667 0.5000 (multiplicity 2)
Ru: 0.0000 0.0000 0.5000 (multiplicity 1)

(24)
Computed, not measured: a relaxed structure of BaRu at the PBE level of DFT.

Calculated values
The value obtained for the uncorrected energy is -10.419 eV per formula unit.

Cell: 4.0823 4.0823 9.7770 Å, 90.00 90.00 120.00°
Space group P-3m1 (No. 164)
Unique sites:
Ba: 0.3333 0.6667 0.2143 (multiplicity 2)
Ru: 0.3333 0.6667 0.5289 (multiplicity 2)

(25)
Computed, not measured: a relaxed structure of BaRu5 at the PBE level of DFT.

Calculated values
The value obtained for the uncorrected energy is -44.077 eV per formula unit.

Cell: 4.013 12.976 4.004 Å, 90.00 90.00 90.00°
Space group Cmmm (No. 65)
Unique sites:
Ba: 0.000 0.000 0.000 (multiplicity 2)
Ru: 0.000 0.189 0.500 (multiplicity 4)
Ru: 0.000 0.310 0.000 (multiplicity 4)
Ru: 0.000 0.500 0.500 (multiplicity 2)

(26)
Computed, not measured: a relaxed structure of BaRu at the PBE level of DFT.

Calculated values
The value obtained for the uncorrected energy is -10.337 eV per formula unit.

Cell: 11.996 11.996 4.227 Å, 90.00 90.00 90.00°
Space group I4/m (No. 87)
Unique sites:
Ba: 0.001 0.747 0.000 (multiplicity 8)
Ru: 0.209 0.238 0.500 (multiplicity 8)